The following is a PBE calculation of an optimized crystal structure of PuZn8Fe4, from the Alexandria database.

a b c (Å): 4.9332 6.7147 6.7147
angles (deg): 82.24 68.45 68.45
With the nearest neighbours (Å) after each atom.
Fractional positions:
Zn 0.6590 0.3410 0.3410  4 Fe 2.65, 5 Zn 2.67-2.81
Zn 0.5000 0.7743 0.2257  4 Fe 2.54, 6 Zn 2.67-2.82
Zn 0.2743 0.2257 0.2257  4 Fe 2.54, 6 Zn 2.67-2.82
Zn 0.7257 0.7743 0.7743  4 Fe 2.54, 6 Zn 2.67-2.82
Zn 0.0000 0.6590 0.3410  4 Fe 2.65, 5 Zn 2.67-2.81
Zn 0.5000 0.2257 0.7743  4 Fe 2.54, 6 Zn 2.67-2.82
Zn 0.3410 0.6590 0.6590  4 Fe 2.65, 5 Zn 2.67-2.81
Zn 0.0000 0.3410 0.6590  4 Fe 2.65, 5 Zn 2.67-2.81
Fe 0.0000 0.5000 0.0000  2 Fe 2.47, 8 Zn 2.54-2.65
Fe 0.5000 0.0000 0.5000  2 Fe 2.47, 8 Zn 2.54-2.65
Fe 0.0000 0.0000 0.5000  2 Fe 2.47, 8 Zn 2.54-2.65
Fe 0.5000 0.5000 0.0000  2 Fe 2.47, 8 Zn 2.54-2.65
Pu 0.0000 0.0000 0.0000  12 Zn 3.01-3.17, 8 Fe 3.36

Output
The calculation puts the formation energy at 16 meV/atom. The symmetry is I4/mmm, No. 139. Its total magnetic moment is 13.14 Bohr magnetons per cell.

---

The following is a PBE calculation of an optimized crystal structure of PuZnFe, from the Alexandria database.

a b c (Å): 5.3195 5.3195 5.3195
angles (deg): 85.70 126.39 118.79
With the nearest neighbours (Å) after each atom.
Fractional positions:
Fe 0.0000 0.5000 0.5000  4 Zn 2.66, 2 Fe 2.71, 4 Pu 2.93
Fe 0.5000 0.0000 0.5000  4 Zn 2.66, 2 Fe 2.71, 4 Pu 2.93
Pu 0.2500 0.1230 0.8730  6 Fe 2.93-3.21, 2 Pu 3.07, 6 Zn 3.11-3.18
Pu 0.7500 0.8770 0.1270  6 Fe 2.93-3.21, 2 Pu 3.07, 6 Zn 3.11-3.18
Zn 0.5000 0.5000 0.5000  2 Zn 2.40, 4 Fe 2.66
Zn 0.0000 0.5000 0.0000  2 Zn 2.40, 4 Fe 2.66

Output
The calculation puts the formation energy at -36 meV/atom. The symmetry is Imma, No. 74. Its total magnetic moment is 7.01 Bohr magnetons per cell.

---

The following is a PBE calculation of an optimized crystal structure of PuZnFe, from the Alexandria database.

a b c (Å): 6.1475 5.6267 6.3760
angles (deg): 90.00 90.36 90.00
With the nearest neighbours (Å) after each atom.
Fractional positions:
Pu 0.7100 0.1168 0.9083  1 Fe 2.31
Pu 0.2900 0.8832 0.0917  1 Fe 2.31
Pu 0.7900 0.6168 0.5917  1 Fe 2.31
Pu 0.2100 0.3832 0.4083  1 Fe 2.31
Zn 0.1719 0.3842 0.8975  3 Fe 2.44-2.55
Zn 0.6719 0.1158 0.3975  3 Fe 2.44-2.55
Zn 0.8281 0.6158 0.1025  3 Fe 2.44-2.55
Zn 0.3281 0.8842 0.6025  3 Fe 2.44-2.55
Fe 0.5212 0.6191 0.8431  1 Pu 2.31, 1 Fe 2.42, 3 Zn 2.44-2.55
Fe 0.9788 0.1191 0.6569  1 Pu 2.31, 1 Fe 2.42, 3 Zn 2.44-2.55
Fe 0.0212 0.8809 0.3431  1 Pu 2.31, 1 Fe 2.42, 3 Zn 2.44-2.55
Fe 0.4788 0.3809 0.1569  1 Pu 2.31, 1 Fe 2.42, 3 Zn 2.44-2.55

Output
The calculation puts the formation energy at -23 meV/atom. The symmetry is P2_1/c, No. 14. Its total magnetic moment is 15.10 Bohr magnetons per cell.

---

The following is a PBE calculation of an optimized crystal structure of PuZn2Fe, from the Alexandria database.

a b c (Å): 2.7927 2.7927 8.2687
angles (deg): 90.00 90.00 90.00
With the nearest neighbours (Å) after each atom.
Fractional positions:
Fe 0.5000 0.5000 0.0000  8 Zn 2.61, 4 Fe 2.79
Pu 0.5000 0.5000 0.5000  4 Pu 2.79, 8 Zn 3.12
Zn 0.0000 0.0000 0.7927  4 Fe 2.61, 4 Zn 2.79
Zn 0.0000 0.0000 0.2073  4 Fe 2.61, 4 Zn 2.79

Output
The calculation puts the formation energy at 31 meV/atom. The symmetry is P4/mmm, No. 123. Its total magnetic moment is 7.58 Bohr magnetons per cell.

---

The following is a PBE calculation of an optimized crystal structure of Pu2ZnFe, from the Alexandria database.

a b c (Å): 3.1436 3.1436 8.0386
angles (deg): 90.00 90.00 90.00
With the nearest neighbours (Å) after each atom.
Fractional positions:
Pu 0.0000 0.0000 0.2218  4 Fe 2.85, 4 Pu 3.14, 4 Zn 3.15
Pu 0.0000 0.0000 0.7782  4 Fe 2.85, 4 Pu 3.14, 4 Zn 3.15
Fe 0.5000 0.5000 0.0000  8 Pu 2.85, 4 Fe 3.14
Zn 0.5000 0.5000 0.5000  4 Zn 3.14, 8 Pu 3.15

Output
Its energy above the lowest structure with this stoichiometry is 0.0000 eV/atom. The calculation puts the formation energy at -7 meV/atom. The symmetry is P4/mmm, No. 123. Its total magnetic moment is 9.12 Bohr magnetons per cell.

---

The following is a PBE calculation of an optimized crystal structure of Pu2ZnFe, from the Alexandria database.

a b c (Å): 4.8606 4.8606 4.8606
angles (deg): 60.00 60.00 60.00
With the nearest neighbours (Å) after each atom.
Fractional positions:
Zn 0.0000 0.0000 0.0000  8 Pu 2.98
Fe 0.5000 0.5000 0.5000  8 Pu 2.98
Pu 0.7500 0.7500 0.7500  4 Zn 2.98, 4 Fe 2.98
Pu 0.2500 0.2500 0.2500  4 Fe 2.98, 4 Zn 2.98

Output
Its energy above the lowest structure with this stoichiometry is 0.1024 eV/atom. The calculation puts the formation energy at 95 meV/atom. The symmetry is Fm-3m, No. 225. Its total magnetic moment is 8.93 Bohr magnetons per cell.

---

The following is a PBE calculation of an optimized crystal structure of Pu2ZnFe3, from the Alexandria database.

a b c (Å): 5.1486 5.1486 4.9448
angles (deg): 99.35 113.16 117.78
With the nearest neighbours (Å) after each atom.
Fractional positions:
Pu 0.7480 0.3902 0.1382  3 Fe 2.70-2.83, 1 Zn 2.98
Pu 0.2520 0.6098 0.8618  3 Fe 2.70-2.83, 1 Zn 2.98
Fe 0.5000 0.5000 0.5000  2 Zn 2.47, 4 Fe 2.57-2.66, 2 Pu 2.70
Fe 0.5000 0.0000 0.5000  4 Fe 2.57, 2 Zn 2.78, 2 Pu 2.83
Fe 0.0000 0.0000 0.5000  2 Zn 2.47, 4 Fe 2.57-2.66, 2 Pu 2.70
Zn 0.0000 0.0000 0.0000  4 Fe 2.47

Output
The calculation puts the formation energy at -56 meV/atom. The symmetry is C2/m, No. 12. Its total magnetic moment is 5.31 Bohr magnetons per cell.

---

The following is a PBE calculation of an optimized crystal structure of PuZrZnFe, from the Alexandria database.

a b c (Å): 4.7519 4.7519 4.7519
angles (deg): 60.00 60.00 60.00
With the nearest neighbours (Å) after each atom.
Fractional positions:
Pu 0.7500 0.7500 0.7500  4 Fe 2.91, 4 Zn 2.91
Zn 0.0000 0.0000 0.0000  4 Zr 2.91, 4 Pu 2.91
Zr 0.2500 0.2500 0.2500  4 Fe 2.91, 4 Zn 2.91
Fe 0.5000 0.5000 0.5000  4 Pu 2.91, 4 Zr 2.91

Output
The calculation puts the formation energy at 38 meV/atom. The symmetry is F-43m, No. 216. Its total magnetic moment is 4.24 Bohr magnetons per cell.

---

The following is a PBE calculation of an optimized crystal structure of PuZrFe2, from the Alexandria database.

a b c (Å): 3.2279 3.2279 6.5762
angles (deg): 90.00 90.00 90.00
With the nearest neighbours (Å) after each atom.
Fractional positions:
Fe 0.0000 0.0000 0.7452  4 Zr 2.79, 4 Pu 2.83
Fe 0.0000 0.0000 0.2548  4 Zr 2.79, 4 Pu 2.83
Pu 0.5000 0.5000 0.0000  8 Fe 2.83
Zr 0.5000 0.5000 0.5000  8 Fe 2.79

Output
The calculation puts the formation energy at -20 meV/atom. The symmetry is P4/mmm, No. 123. Its total magnetic moment is 2.70 Bohr magnetons per cell.

---

The following is a PBE calculation of an optimized crystal structure of Pu2ZrFe, from the Alexandria database.

a b c (Å): 3.1844 3.1844 10.2740
angles (deg): 81.08 81.08 60.00
With the nearest neighbours (Å) after each atom.
Fractional positions:
Zr 0.0000 0.0000 0.0000  2 Pu 3.02, 6 Zr 3.18
Pu 0.0995 0.0995 0.7014  3 Fe 2.74, 1 Zr 3.02
Pu 0.9005 0.9005 0.2986  3 Fe 2.74, 1 Zr 3.02
Fe 0.5000 0.5000 0.5000  6 Pu 2.74

Output
The calculation puts the formation energy at 417 meV/atom. The symmetry is R-3m, No. 166. Its total magnetic moment is 9.23 Bohr magnetons per cell.

---

The following is a PBE calculation of an optimized crystal structure of PuZrFe4, from the Alexandria database.

a b c (Å): 5.0180 5.0180 5.0180
angles (deg): 60.00 60.00 60.00
With the nearest neighbours (Å) after each atom.
Fractional positions:
Fe 0.6249 0.6249 0.6249  6 Fe 2.51
Fe 0.6249 0.1253 0.6249  6 Fe 2.51
Fe 0.1253 0.6249 0.6249  6 Fe 2.51
Fe 0.6249 0.6249 0.1253  6 Fe 2.51
Pu 0.2500 0.2500 0.2500  12 Fe 2.94, 4 Zr 3.07
Zr 0.0000 0.0000 0.0000  12 Fe 2.94, 4 Pu 3.07

Output
The calculation puts the formation energy at 22 meV/atom. The symmetry is F-43m, No. 216. Its total magnetic moment is 11.26 Bohr magnetons per cell.

---

The following is a PBE calculation of an optimized crystal structure of PuZrFe2, from the Alexandria database.

a b c (Å): 4.5871 4.5871 4.5871
angles (deg): 60.00 60.00 60.00
With the nearest neighbours (Å) after each atom.
Fractional positions:
Fe 0.2500 0.2500 0.2500  4 Zr 2.81, 4 Pu 2.81
Fe 0.7500 0.7500 0.7500  4 Pu 2.81, 4 Zr 2.81
Pu 0.5000 0.5000 0.5000  8 Fe 2.81
Zr 0.0000 0.0000 0.0000  8 Fe 2.81

Output
The calculation puts the formation energy at -2 meV/atom. The symmetry is Fm-3m, No. 225. Its total magnetic moment is 2.76 Bohr magnetons per cell.

---

The following is a PBE calculation of an optimized crystal structure of Pu2ZrFe9, from the Alexandria database.

a b c (Å): 4.8235 4.8235 8.7941
angles (deg): 74.08 74.08 60.00
With the nearest neighbours (Å) after each atom.
Fractional positions:
Fe 0.0806 0.5800 0.7594  7 Fe 2.41-2.57
Fe 0.4200 0.9194 0.2406  7 Fe 2.41-2.57
Fe 0.5000 0.5000 0.5000  6 Fe 2.57, 6 Pu 2.83
Fe 0.6665 0.6665 0.0006  6 Fe 2.44-2.45
Fe 0.5800 0.0806 0.7594  7 Fe 2.41-2.57
Fe 0.5800 0.5800 0.7594  7 Fe 2.41-2.57
Fe 0.3335 0.3335 0.9994  6 Fe 2.44-2.45
Fe 0.9194 0.4200 0.2406  7 Fe 2.41-2.57
Fe 0.4200 0.4200 0.2406  7 Fe 2.41-2.57
Pu 0.8528 0.8528 0.4417  12 Fe 2.83-2.99, 3 Pu 2.95
Pu 0.1472 0.1472 0.5583  12 Fe 2.83-2.99, 3 Pu 2.95
Zr 0.0000 0.0000 0.0000  6 Fe 2.78

Output
The calculation puts the formation energy at 66 meV/atom. The symmetry is R-3m, No. 166. Its total magnetic moment is 20.39 Bohr magnetons per cell.

---

The following is a PBE calculation of an optimized crystal structure of PuZrFe, from the Alexandria database.

a b c (Å): 3.3596 3.3596 5.5572
angles (deg): 107.59 107.59 90.00
With the nearest neighbours (Å) after each atom.
Fractional positions:
Fe 0.6509 0.6509 0.3019  4 Pu 2.69, 4 Zr 2.95
Pu 0.0244 0.0244 0.0489  4 Fe 2.69, 1 Zr 3.02
Zr 0.3246 0.3246 0.6492  5 Fe 2.95-3.28, 5 Pu 3.02-3.11

Output
Its energy above the lowest structure with this stoichiometry is 0.1259 eV/atom. The calculation puts the formation energy at 81 meV/atom. The symmetry is I4mm, No. 107. Its total magnetic moment is 3.48 Bohr magnetons per cell.

---

The following is a PBE calculation of an optimized crystal structure of PuZrFe, from the Alexandria database.

a b c (Å): 3.4755 5.5429 8.0897
angles (deg): 126.75 90.02 108.25
With the nearest neighbours (Å) after each atom.
Fractional positions:
Fe 0.3511 0.2019 0.8405  2 Pu 2.41-2.42, 1 Fe 2.51, 2 Zr 2.69
Fe 0.6489 0.7981 0.1595  2 Pu 2.41-2.42, 1 Fe 2.51, 2 Zr 2.69
Zr 0.9203 0.3410 0.1419  5 Fe 2.69-2.95
Zr 0.0797 0.6590 0.8581  5 Fe 2.69-2.95
Pu 0.6763 0.8517 0.5888  2 Fe 2.41-2.42
Pu 0.3237 0.1483 0.4112  2 Fe 2.41-2.42

Output
Its energy above the lowest structure with this stoichiometry is 0.0000 eV/atom. The calculation puts the formation energy at -45 meV/atom. The symmetry is C2/m, No. 12. Its total magnetic moment is 8.01 Bohr magnetons per cell.

---

The following is a PBE calculation of an optimized crystal structure of PuZr3Fe8, from the Alexandria database.

a b c (Å): 4.9892 4.9892 8.6677
angles (deg): 73.27 73.27 60.00
With the nearest neighbours (Å) after each atom.
Fractional positions:
Fe 0.6874 0.6874 0.9379  6 Fe 2.47
Fe 0.1879 0.1879 0.4363  6 Fe 2.52-2.54
Fe 0.4338 0.9367 0.6929  6 Fe 2.47-2.54
Fe 0.4382 0.4382 0.1823  6 Fe 2.47-2.52
Fe 0.9367 0.9367 0.6929  6 Fe 2.47-2.54
Fe 0.4382 0.9414 0.1823  6 Fe 2.47-2.52
Fe 0.9414 0.4382 0.1823  6 Fe 2.47-2.52
Fe 0.9367 0.4338 0.6929  6 Fe 2.47-2.54
Zr 0.9986 0.9986 0.0041  12 Fe 2.89-2.93, 1 Pu 3.05, 3 Zr 3.07
Zr 0.3756 0.3756 0.8732  12 Fe 2.90-2.93, 4 Zr 3.07-3.09
Zr 0.5015 0.5015 0.4955  12 Fe 2.92-2.97, 3 Pu 3.04, 1 Zr 3.09
Pu 0.8741 0.8741 0.3776  12 Fe 2.92-2.96, 4 Zr 3.04-3.05

Output
The calculation puts the formation energy at -135 meV/atom. The symmetry is R3m, No. 160. Its total magnetic moment is 17.42 Bohr magnetons per cell.

---

The following is a PBE calculation of an optimized crystal structure of RbFe, from the Alexandria database.

a b c (Å): 3.1925 3.1925 12.0665
angles (deg): 90.00 90.00 120.00
With the nearest neighbours (Å) after each atom.
Fractional positions:
Rb 0.3333 0.6667 0.6695  4 Fe 3.10-3.46, 6 Rb 3.19
Rb 0.6667 0.3333 0.1695  4 Fe 3.10-3.46, 6 Rb 3.19
Fe 0.3333 0.6667 0.4125  4 Rb 3.10-3.46, 6 Fe 3.19
Fe 0.6667 0.3333 0.9125  4 Rb 3.10-3.46, 6 Fe 3.19

Output
Its energy above the lowest structure with this stoichiometry is 0.9070 eV/atom. The calculation puts the formation energy at 1615 meV/atom. The symmetry is P6_3mc, No. 186. Its total magnetic moment is 5.70 Bohr magnetons per cell.

---

The following is a PBE calculation of an optimized crystal structure of RbFe, from the Alexandria database.

a b c (Å): 10.1234 10.1234 10.1234
angles (deg): 90.00 90.00 90.00
With the nearest neighbours (Å) after each atom.
Fractional positions:
Fe 0.9195 0.0805 0.9195  3 Fe 2.31
Fe 0.5805 0.5805 0.5805  3 Fe 2.31
Fe 0.4195 0.4195 0.5805  3 Fe 2.31
Fe 0.9195 0.9195 0.0805  3 Fe 2.31
Fe 0.0805 0.9195 0.9195  3 Fe 2.31
Fe 0.0805 0.0805 0.0805  3 Fe 2.31
Fe 0.4195 0.5805 0.4195  3 Fe 2.31
Fe 0.5805 0.4195 0.4195  3 Fe 2.31
Rb 0.7149 0.2851 0.7149  4 Fe 3.56-3.59
Rb 0.7851 0.7851 0.7851  4 Fe 3.56-3.59
Rb 0.2851 0.2851 0.2851  4 Fe 3.56-3.59
Rb 0.2149 0.2149 0.7851  4 Fe 3.56-3.59
Rb 0.2149 0.7851 0.2149  4 Fe 3.56-3.59
Rb 0.2851 0.7149 0.7149  4 Fe 3.56-3.59
Rb 0.7851 0.2149 0.2149  4 Fe 3.56-3.59
Rb 0.7149 0.7149 0.2851  4 Fe 3.56-3.59

Output
Its energy above the lowest structure with this stoichiometry is 0.1989 eV/atom. The calculation puts the formation energy at 907 meV/atom. The symmetry is I-43m, No. 217. Its total magnetic moment is 24.16 Bohr magnetons per cell.

---

The following is a PBE calculation of an optimized crystal structure of RbFe, from the Alexandria database.

a b c (Å): 10.0275 10.0275 10.0275
angles (deg): 90.00 90.00 90.00
With the nearest neighbours (Å) after each atom.
Fractional positions:
Rb 0.0000 0.2500 0.5000  4 Fe 3.55
Rb 0.5000 0.0000 0.2500  4 Fe 3.55
Rb 0.2500 0.5000 0.0000  4 Fe 3.55
Rb 0.5000 0.0000 0.7500  4 Fe 3.55
Rb 0.0000 0.7500 0.5000  4 Fe 3.55
Rb 0.7500 0.5000 0.0000  4 Fe 3.55
Fe 0.0000 0.5000 0.2500  4 Rb 3.55
Fe 0.7500 0.0000 0.5000  4 Rb 3.55
Fe 0.2500 0.0000 0.5000  4 Rb 3.55
Fe 0.0000 0.5000 0.7500  4 Rb 3.55
Fe 0.5000 0.2500 0.0000  4 Rb 3.55
Fe 0.5000 0.7500 0.0000  4 Rb 3.55

Output
Its energy above the lowest structure with this stoichiometry is 1.1411 eV/atom. The calculation puts the formation energy at 1849 meV/atom. The symmetry is Pm-3n, No. 223. Its total magnetic moment is 18.03 Bohr magnetons per cell.